{"formula": "YMg8Cd6", "functional": "GGA-PBE", "state": "relaxed", "lattice_angstrom": [[4.309, 2.488, 5.746], [-4.309, 2.488, 5.746], [0.000, -4.975, 5.746]], "species": ["Y", "Mg", "Mg", "Mg", "Mg", "Mg", "Mg", "Mg", "Mg", "Cd", "Cd", "Cd", "Cd", "Cd", "Cd"], "fractional_positions": [[0.000, 0.000, 0.000], [0.116, 0.456, 0.787], [0.213, 0.884, 0.544], [0.358, 0.358, 0.358], [0.456, 0.787, 0.116], [0.544, 0.213, 0.884], [0.642, 0.642, 0.642], [0.787, 0.116, 0.456], [0.884, 0.544, 0.213], [0.038, 0.711, 0.399], [0.289, 0.601, 0.962], [0.399, 0.038, 0.711], [0.601, 0.962, 0.289], [0.711, 0.399, 0.038], [0.962, 0.289, 0.601]], "e_tot_ev_per_atom": -1.68, "formation_enthalpy_0k_ev_per_fu": -0.52, "volume_a3_per_cell": 370, "spacegroup": "R-3", "mass_density_g_cm3": 4.3}